! PBE K2InMo, relaxed; values from VASP
! E_tot: -2.8825 eV per atom
&SYSTEM
  ibrav = 0, nat = 4, ntyp = 3
/
ATOMIC_SPECIES
K 39.10 K.upf
Mo 95.94 Mo.upf
In 114.82 In.upf
CELL_PARAMETERS angstrom
-3.751 3.999 -11.395
-6.401 2.487 -10.618
-5.969 5.471 -9.713
ATOMIC_POSITIONS angstrom
K -8.106 6.012 -15.952
Mo -4.030 2.989 -7.932
K -16.076 11.923 -31.637
In -12.091 8.968 -23.795